# 1
A geometry-optimized CaPt3O6 structure. Source: the Alexandria database, functional PBE.

Output
- Uncorrected energy: -6.05 eV per atom
- Space-group type: Cmmm, No. 65
- Magnetization: 0.00 μB/cell

Geometry as CIF:
```
data_CaPt3O6
_chemical_formula_sum 'Ca1 Pt3 O6'
_space_group_name_H-M_alt 'P 1'
_space_group_IT_number 1
_space_group_name_Hall 'P 1'
_cell_length_a 3.286
_cell_length_b 6.306
_cell_length_c 6.306
_cell_angle_alpha 109.21
_cell_angle_beta 90.00
_cell_angle_gamma 90.00
loop_
_atom_site_label
_atom_site_type_symbol
_atom_site_fract_x
_atom_site_fract_y
_atom_site_fract_z
Pt1 Pt 0.000 0.000 0.000
Pt2 Pt 0.500 0.500 0.000
Pt3 Pt 0.500 0.000 0.500
O1 O 0.000 0.664 0.924
O2 O 0.000 0.924 0.664
O3 O 0.000 0.336 0.076
O4 O 0.000 0.076 0.336
O5 O 0.500 0.661 0.339
O6 O 0.500 0.339 0.661
Ca1 Ca 0.000 0.500 0.500
```

***

# 2
A geometry-optimized CaPtO structure. Source: the Alexandria database, functional PBE.

Output
- Uncorrected energy: -5.91 eV per atom
- Space-group type: P2_1/m, No. 11
- Magnetization: 0.00 μB/cell

Geometry as CIF:
```
data_CaPtO
_chemical_formula_sum 'Ca2 Pt2 O2'
_space_group_name_H-M_alt 'P 1'
_space_group_IT_number 1
_space_group_name_Hall 'P 1'
_cell_length_a 8.661
_cell_length_b 3.561
_cell_length_c 3.172
_cell_angle_alpha 90.00
_cell_angle_beta 90.00
_cell_angle_gamma 102.07
loop_
_atom_site_label
_atom_site_type_symbol
_atom_site_fract_x
_atom_site_fract_y
_atom_site_fract_z
Pt1 Pt 0.198 0.030 0.421
Pt2 Pt 0.960 0.914 0.921
O1 O 0.450 0.156 0.421
O2 O 0.708 0.788 0.921
Ca1 Ca 0.733 0.301 0.421
Ca2 Ca 0.425 0.644 0.921
```

***

# 3
A geometry-optimized Ca3PtO6 structure. Source: the Alexandria database, functional PBE.

Output
- Uncorrected energy: -6.14 eV per atom
- Space-group type: R-3, No. 148
- Magnetization: 0.24 μB/cell

Geometry as CIF:
```
data_Ca3PtO6
_chemical_formula_sum 'Ca6 Pt2 O12'
_space_group_name_H-M_alt 'P 1'
_space_group_IT_number 1
_space_group_name_Hall 'P 1'
_cell_length_a 6.599
_cell_length_b 6.599
_cell_length_c 6.599
_cell_angle_alpha 91.87
_cell_angle_beta 91.87
_cell_angle_gamma 91.87
loop_
_atom_site_label
_atom_site_type_symbol
_atom_site_fract_x
_atom_site_fract_y
_atom_site_fract_z
O1 O 0.070 0.286 0.935
O2 O 0.935 0.070 0.286
O3 O 0.286 0.935 0.070
O4 O 0.421 0.212 0.547
O5 O 0.579 0.788 0.453
O6 O 0.930 0.714 0.065
O7 O 0.788 0.453 0.579
O8 O 0.547 0.421 0.212
O9 O 0.714 0.065 0.930
O10 O 0.453 0.579 0.788
O11 O 0.065 0.930 0.714
O12 O 0.212 0.547 0.421
Pt1 Pt 0.000 0.000 0.000
Pt2 Pt 0.500 0.500 0.500
Ca1 Ca 0.929 0.745 0.435
Ca2 Ca 0.255 0.565 0.071
Ca3 Ca 0.435 0.929 0.745
Ca4 Ca 0.071 0.255 0.565
Ca5 Ca 0.745 0.435 0.929
Ca6 Ca 0.565 0.071 0.255
```

***

# 4
A geometry-optimized CaPt3O structure. Source: the Alexandria database, functional PBE.

Output
- Relative energy among the computed polymorphs: 2086.1 meV/atom
- Space-group type: Pm-3m, No. 221
- Magnetization: 0.00 μB/cell

Geometry as CIF:
```
data_CaPt3O
_chemical_formula_sum 'Ca1 Pt3 O1'
_space_group_name_H-M_alt 'P 1'
_space_group_IT_number 1
_space_group_name_Hall 'P 1'
_cell_length_a 5.008
_cell_length_b 5.008
_cell_length_c 5.008
_cell_angle_alpha 90.00
_cell_angle_beta 90.00
_cell_angle_gamma 90.00
loop_
_atom_site_label
_atom_site_type_symbol
_atom_site_fract_x
_atom_site_fract_y
_atom_site_fract_z
Pt1 Pt 0.000 0.500 0.000
Pt2 Pt 0.500 0.000 0.000
Pt3 Pt 0.000 0.000 0.500
O1 O 0.500 0.500 0.500
Ca1 Ca 0.000 0.000 0.000
```

***

# 5
A geometry-optimized Ca2Pt2O7 structure. Source: the Alexandria database, functional PBE.

Output
- Uncorrected energy: -6.04 eV per atom
- Space-group type: Fd-3m, No. 227
- Magnetization: 0.57 μB/cell

Geometry as CIF:
```
data_Ca2Pt2O7
_chemical_formula_sum 'Ca4 Pt4 O14'
_space_group_name_H-M_alt 'P 1'
_space_group_IT_number 1
_space_group_name_Hall 'P 1'
_cell_length_a 7.316
_cell_length_b 7.316
_cell_length_c 7.316
_cell_angle_alpha 60.00
_cell_angle_beta 60.00
_cell_angle_gamma 60.00
loop_
_atom_site_label
_atom_site_type_symbol
_atom_site_fract_x
_atom_site_fract_y
_atom_site_fract_z
Ca1 Ca 0.625 0.625 0.125
Ca2 Ca 0.625 0.625 0.625
Ca3 Ca 0.625 0.125 0.625
Ca4 Ca 0.125 0.625 0.625
O1 O 0.796 0.204 0.796
O2 O 0.796 0.796 0.204
O3 O 0.046 0.046 0.454
O4 O 0.454 0.046 0.454
O5 O 0.454 0.454 0.046
O6 O 0.046 0.454 0.046
O7 O 0.500 0.500 0.500
O8 O 0.204 0.204 0.796
O9 O 0.796 0.204 0.204
O10 O 0.046 0.454 0.454
O11 O 0.204 0.796 0.796
O12 O 0.454 0.046 0.046
O13 O 0.204 0.796 0.204
O14 O 0.750 0.750 0.750
Pt1 Pt 0.125 0.625 0.125
Pt2 Pt 0.625 0.125 0.125
Pt3 Pt 0.125 0.125 0.625
Pt4 Pt 0.125 0.125 0.125
```

***

# 6
A geometry-optimized CaPtO structure. Source: the Alexandria database, functional PBE.

Output
- Uncorrected energy: -5.51 eV per atom
- Space-group type: Cmcm, No. 63
- Magnetization: 0.00 μB/cell

Geometry as CIF:
```
data_CaPtO
_chemical_formula_sum 'Ca4 Pt4 O4'
_space_group_name_H-M_alt 'P 1'
_space_group_IT_number 1
_space_group_name_Hall 'P 1'
_cell_length_a 11.392
_cell_length_b 5.512
_cell_length_c 3.119
_cell_angle_alpha 90.00
_cell_angle_beta 90.00
_cell_angle_gamma 90.00
loop_
_atom_site_label
_atom_site_type_symbol
_atom_site_fract_x
_atom_site_fract_y
_atom_site_fract_z
O1 O 0.500 0.000 0.500
O2 O 0.500 0.500 0.500
O3 O 0.000 0.500 0.000
O4 O 0.000 0.000 0.000
Ca1 Ca 0.085 0.250 0.500
Ca2 Ca 0.585 0.250 0.000
Ca3 Ca 0.915 0.750 0.500
Ca4 Ca 0.415 0.750 0.000
Pt1 Pt 0.839 0.250 0.000
Pt2 Pt 0.339 0.250 0.500
Pt3 Pt 0.161 0.750 0.000
Pt4 Pt 0.661 0.750 0.500
```

***

# 7
A geometry-optimized CaPtO structure. Source: the Alexandria database, functional PBE.

Output
- Uncorrected energy: -5.80 eV per atom
- Space-group type: Amm2, No. 38
- Magnetization: 0.00 μB/cell

Geometry as CIF:
```
data_CaPtO
_chemical_formula_sum 'Ca2 Pt2 O2'
_space_group_name_H-M_alt 'P 1'
_space_group_IT_number 1
_space_group_name_Hall 'P 1'
_cell_length_a 5.357
_cell_length_b 5.357
_cell_length_c 4.809
_cell_angle_alpha 116.68
_cell_angle_beta 63.33
_cell_angle_gamma 125.80
loop_
_atom_site_label
_atom_site_type_symbol
_atom_site_fract_x
_atom_site_fract_y
_atom_site_fract_z
Pt1 Pt 0.531 0.454 0.372
Pt2 Pt 0.031 0.954 0.872
O1 O 0.230 0.653 0.623
O2 O 0.730 0.153 0.123
Ca1 Ca 0.251 0.675 0.123
Ca2 Ca 0.751 0.175 0.623
```

***

# 8
A geometry-optimized CaPtO structure. Source: the Alexandria database, functional PBE.

Output
- Uncorrected energy: -5.68 eV per atom
- Space-group type: P6_3/mmc, No. 194
- Magnetization: 0.00 μB/cell

Geometry as CIF:
```
data_CaPtO
_chemical_formula_sum 'Ca2 Pt2 O2'
_space_group_name_H-M_alt 'P 1'
_space_group_IT_number 1
_space_group_name_Hall 'P 1'
_cell_length_a 4.030
_cell_length_b 4.030
_cell_length_c 8.177
_cell_angle_alpha 90.00
_cell_angle_beta 90.00
_cell_angle_gamma 120.00
loop_
_atom_site_label
_atom_site_type_symbol
_atom_site_fract_x
_atom_site_fract_y
_atom_site_fract_z
Ca1 Ca 0.667 0.333 0.750
Ca2 Ca 0.333 0.667 0.250
Pt1 Pt 0.000 0.000 0.500
Pt2 Pt 0.000 0.000 0.000
O1 O 0.000 0.000 0.250
O2 O 0.000 0.000 0.750
```

***

# 9
A geometry-optimized CaPtO2 structure. Source: the Alexandria database, functional PBE.

Output
- Uncorrected energy: -5.67 eV per atom
- Space-group type: I-42d, No. 122
- Magnetization: 0.00 μB/cell

Geometry as CIF:
```
data_CaPtO2
_chemical_formula_sum 'Ca2 Pt2 O4'
_space_group_name_H-M_alt 'P 1'
_space_group_IT_number 1
_space_group_name_Hall 'P 1'
_cell_length_a 4.411
_cell_length_b 4.411
_cell_length_c 7.011
_cell_angle_alpha 71.66
_cell_angle_beta 71.66
_cell_angle_gamma 90.00
loop_
_atom_site_label
_atom_site_type_symbol
_atom_site_fract_x
_atom_site_fract_y
_atom_site_fract_z
O1 O 0.875 0.928 0.750
O2 O 0.072 0.625 0.250
O3 O 0.375 0.322 0.750
O4 O 0.678 0.125 0.250
Pt1 Pt 0.000 0.000 0.000
Pt2 Pt 0.750 0.250 0.500
Ca1 Ca 0.250 0.750 0.500
Ca2 Ca 0.500 0.500 0.000
```

***

# 10
A geometry-optimized Ca4Pt2O structure. Source: the Alexandria database, functional PBE.

Output
- Uncorrected energy: -4.91 eV per atom
- Space-group type: I4/mmm, No. 139
- Magnetization: 0.00 μB/cell

Geometry as CIF:
```
data_Ca4Pt2O
_chemical_formula_sum 'Ca4 Pt2 O1'
_space_group_name_H-M_alt 'P 1'
_space_group_IT_number 1
_space_group_name_Hall 'P 1'
_cell_length_a 4.552
_cell_length_b 4.552
_cell_length_c 8.295
_cell_angle_alpha 74.07
_cell_angle_beta 74.07
_cell_angle_gamma 90.00
loop_
_atom_site_label
_atom_site_type_symbol
_atom_site_fract_x
_atom_site_fract_y
_atom_site_fract_z
Pt1 Pt 0.636 0.636 0.729
Pt2 Pt 0.364 0.364 0.271
Ca1 Ca 0.172 0.172 0.655
Ca2 Ca 0.000 0.500 0.000
Ca3 Ca 0.828 0.828 0.345
Ca4 Ca 0.500 0.000 0.000
O1 O 0.000 0.000 0.000
```

***

# 11
A geometry-optimized Ca2PtO4 structure. Source: the Alexandria database, functional PBE.

Output
- Uncorrected energy: -6.22 eV per atom
- Space-group type: Pbca, No. 61
- Magnetization: 0.00 μB/cell

Geometry as CIF:
```
data_Ca2PtO4
_chemical_formula_sum 'Ca8 Pt4 O16'
_space_group_name_H-M_alt 'P 1'
_space_group_IT_number 1
_space_group_name_Hall 'P 1'
_cell_length_a 5.323
_cell_length_b 5.715
_cell_length_c 12.122
_cell_angle_alpha 90.00
_cell_angle_beta 90.00
_cell_angle_gamma 90.00
loop_
_atom_site_label
_atom_site_type_symbol
_atom_site_fract_x
_atom_site_fract_y
_atom_site_fract_z
O1 O 0.424 0.522 0.667
O2 O 0.187 0.304 0.460
O3 O 0.076 0.022 0.667
O4 O 0.813 0.804 0.040
O5 O 0.313 0.804 0.460
O6 O 0.576 0.478 0.333
O7 O 0.187 0.196 0.960
O8 O 0.687 0.196 0.540
O9 O 0.076 0.478 0.167
O10 O 0.576 0.022 0.833
O11 O 0.924 0.522 0.833
O12 O 0.924 0.978 0.333
O13 O 0.313 0.696 0.960
O14 O 0.687 0.304 0.040
O15 O 0.813 0.696 0.540
O16 O 0.424 0.978 0.167
Ca1 Ca 0.498 0.574 0.153
Ca2 Ca 0.502 0.426 0.847
Ca3 Ca 0.502 0.074 0.347
Ca4 Ca 0.002 0.074 0.153
Ca5 Ca 0.498 0.926 0.653
Ca6 Ca 0.998 0.574 0.347
Ca7 Ca 0.002 0.426 0.653
Ca8 Ca 0.998 0.926 0.847
Pt1 Pt 0.000 0.000 0.500
Pt2 Pt 0.500 0.500 0.500
Pt3 Pt 0.500 0.000 0.000
Pt4 Pt 0.000 0.500 0.000
```